(1)
PaCuTc: optimized geometry, GGA-PBE.

Values from the calculation:
Energy: -0.5767 Ry/atom
E_form: 3.2 kcal/mol of atoms

Unit cell a=4.4955 b=4.4955 c=3.0428 alpha=90.00 beta=90.00 gamma=120.00
Space group P3m1 (No. 156)
Asymmetric unit:
Pa 0.0000 0.0000 0.0000 [1 per cell]
Cu 0.6667 0.3333 0.5373 [1 per cell]
Tc 0.3333 0.6667 0.3005 [1 per cell]

(2)
PaCu4Tc: optimized geometry, GGA-PBE.

Values from the calculation:
Energy: -0.4436 Ry/atom
E_form: 0.1 kcal/mol of atoms

Unit cell a=7.0456 b=7.0456 c=7.0456 alpha=90.00 beta=90.00 gamma=90.00
Space group F-43m (No. 216)
Asymmetric unit:
Pa 0.0000 0.0000 0.0000 [4 per cell]
Cu 0.1238 0.1238 0.6238 [16 per cell]
Tc 0.2500 0.2500 0.2500 [4 per cell]

(3)
Pa6CuTc5: optimized geometry, GGA-PBE.

Values from the calculation:
Energy: -0.6973 Ry/atom
E_form: -1.8 kcal/mol of atoms

Unit cell a=6.9096 b=11.2226 c=6.9224 alpha=90.00 beta=105.94 gamma=90.00
Space group C2/m (No. 12)
Asymmetric unit:
Pa 0.2182 0.0000 0.2238 [4 per cell]
Pa 0.2350 0.1726 0.7282 [8 per cell]
Cu 0.0000 0.5000 0.0000 [2 per cell]
Tc 0.0000 0.0000 0.5000 [2 per cell]
Tc 0.0000 0.1814 0.0000 [4 per cell]
Tc 0.0000 0.3650 0.5000 [4 per cell]

(4)
Pa8CuTc5: optimized geometry, GGA-PBE.

Values from the calculation:
Energy: -0.7004 Ry/atom
E_form: -2.5 kcal/mol of atoms

Unit cell a=8.6448 b=8.6448 c=8.2261 alpha=90.00 beta=90.00 gamma=90.00
Space group I-4 (No. 82)
Asymmetric unit:
Pa 0.0527 0.3231 0.4314 [8 per cell]
Pa 0.0649 0.1934 0.8167 [8 per cell]
Cu 0.0000 0.0000 0.5000 [2 per cell]
Tc 0.0000 0.5000 0.7500 [2 per cell]
Tc 0.1383 0.2383 0.1400 [8 per cell]

(5)
PaCu2Tc: optimized geometry, GGA-PBE.

Values from the calculation:
Energy: -0.5011 Ry/atom
E_form: 4.5 kcal/mol of atoms

Unit cell a=6.4227 b=6.4227 c=6.4227 alpha=90.00 beta=90.00 gamma=90.00
Space group Fm-3m (No. 225)
Asymmetric unit:
Pa 0.0000 0.0000 0.0000 [4 per cell]
Cu 0.2500 0.2500 0.2500 [8 per cell]
Tc 0.0000 0.0000 0.5000 [4 per cell]

(6)
PaCuTc: optimized geometry, GGA-PBE.

Values from the calculation:
Energy: -0.5805 Ry/atom
E_form: 2.0 kcal/mol of atoms

Unit cell a=3.5417 b=3.5417 c=8.8705 alpha=90.00 beta=90.00 gamma=90.00
Space group P4/nmm (No. 129, origin choice 2)
Asymmetric unit:
Pa 0.2500 0.2500 0.2319 [2 per cell]
Cu 0.2500 0.2500 0.5617 [2 per cell]
Tc 0.2500 0.2500 0.8875 [2 per cell]

(7)
TmPaCuTc: optimized geometry, GGA-PBE.

Values from the calculation:
Energy: -0.5294 Ry/atom
E_form: -2.2 kcal/mol of atoms

Unit cell a=6.8470 b=6.8470 c=6.8470 alpha=90.00 beta=90.00 gamma=90.00
Space group F-43m (No. 216)
Asymmetric unit:
Tm 0.0000 0.0000 0.0000 [4 per cell]
Pa 0.0000 0.0000 0.5000 [4 per cell]
Cu 0.2500 0.2500 0.7500 [4 per cell]
Tc 0.2500 0.2500 0.2500 [4 per cell]

(8)
UPaCuTc: optimized geometry, GGA-PBE.

Values from the calculation:
Energy: -0.6505 Ry/atom
E_form: -0.9 kcal/mol of atoms

Unit cell a=6.5801 b=6.5801 c=6.5801 alpha=90.00 beta=90.00 gamma=90.00
Space group F-43m (No. 216)
Asymmetric unit:
U 0.0000 0.0000 0.0000 [4 per cell]
Pa 0.2500 0.2500 0.2500 [4 per cell]
Cu 0.0000 0.0000 0.5000 [4 per cell]
Tc 0.2500 0.2500 0.7500 [4 per cell]

(9)
YPaCuTc: optimized geometry, GGA-PBE.

Values from the calculation:
Energy: -0.5619 Ry/atom
E_form: -0.9 kcal/mol of atoms

Unit cell a=6.8969 b=6.8969 c=6.8969 alpha=90.00 beta=90.00 gamma=90.00
Space group F-43m (No. 216)
Asymmetric unit:
Y 0.0000 0.0000 0.0000 [4 per cell]
Pa 0.0000 0.0000 0.5000 [4 per cell]
Cu 0.2500 0.2500 0.2500 [4 per cell]
Tc 0.2500 0.2500 0.7500 [4 per cell]

(10)
PaZnCuTc: optimized geometry, GGA-PBE.

Values from the calculation:
Energy: -0.4587 Ry/atom
E_form: 1.6 kcal/mol of atoms

Unit cell a=6.5245 b=6.5245 c=6.5245 alpha=90.00 beta=90.00 gamma=90.00
Space group F-43m (No. 216)
Asymmetric unit:
Pa 0.0000 0.0000 0.0000 [4 per cell]
Zn 0.0000 0.0000 0.5000 [4 per cell]
Cu 0.2500 0.2500 0.2500 [4 per cell]
Tc 0.2500 0.2500 0.7500 [4 per cell]

(11)
Pa2CuTe: optimized geometry, GGA-PBE.

Values from the calculation:
Energy: -0.4894 Ry/atom
Formation energy without anion corrections: -0.10 eV/atom

Unit cell a=4.1704 b=4.1704 c=20.6837 alpha=90.00 beta=90.00 gamma=120.00
Space group R-3m (No. 166, hexagonal axes)
Asymmetric unit:
Pa 0.0000 0.0000 0.2361 [6 per cell]
Cu 0.0000 0.0000 0.5000 [3 per cell]
Te 0.0000 0.0000 0.0000 [3 per cell]

(12)
Pa3CuTe6: optimized geometry, GGA-PBE.

Values from the calculation:
Energy: -0.4268 Ry/atom
Formation energy without anion corrections: -0.66 eV/atom

Unit cell a=12.0799 b=14.4973 c=7.1498 alpha=90.00 beta=90.00 gamma=90.00
Space group Cmc2_1 (No. 36)
Asymmetric unit:
Pa 0.0000 0.1037 0.0000 [4 per cell]
Pa 0.1649 0.4020 0.1093 [8 per cell]
Cu 0.0000 0.2785 0.6795 [4 per cell]
Te 0.0000 0.2699 0.3075 [4 per cell]
Te 0.0000 0.4554 0.7854 [4 per cell]
Te 0.1654 0.0391 0.3050 [8 per cell]
Te 0.1826 0.2290 0.8410 [8 per cell]

(13)
Pa3CuTe4: optimized geometry, GGA-PBE.

Values from the calculation:
Energy: -0.4436 Ry/atom
Formation energy without anion corrections: -0.39 eV/atom

Unit cell a=9.6953 b=7.8131 c=6.1566 alpha=90.00 beta=90.00 gamma=90.00
Space group Pmn2_1 (No. 31)
Asymmetric unit:
Pa 0.0000 0.1106 0.0000 [2 per cell]
Pa 0.1864 0.8508 0.0192 [4 per cell]
Cu 0.0000 0.5814 0.3640 [2 per cell]
Te 0.0000 0.2565 0.4945 [2 per cell]
Te 0.0000 0.5354 0.9619 [2 per cell]
Te 0.1938 0.7790 0.5221 [4 per cell]

(14)
PaCuTe2: optimized geometry, GGA-PBE.

Values from the calculation:
Energy: -0.3857 Ry/atom
Formation energy without anion corrections: -0.28 eV/atom

Unit cell a=4.1581 b=4.1581 c=26.5370 alpha=90.00 beta=90.00 gamma=120.00
Space group R-3m (No. 166, hexagonal axes)
Asymmetric unit:
Pa 0.0000 0.0000 0.0000 [3 per cell]
Cu 0.0000 0.0000 0.5000 [3 per cell]
Te 0.0000 0.0000 0.4074 [6 per cell]

(15)
PaCuTe: optimized geometry, GGA-PBE.

Values from the calculation:
Energy: -0.4243 Ry/atom
Formation energy without anion corrections: -0.20 eV/atom

Unit cell a=4.4917 b=4.4917 c=3.8626 alpha=90.00 beta=90.00 gamma=120.00
Space group P3m1 (No. 156)
Asymmetric unit:
Pa 0.0000 0.0000 0.0000 [1 per cell]
Cu 0.6667 0.3333 0.6569 [1 per cell]
Te 0.3333 0.6667 0.4852 [1 per cell]

(16)
PaCu2Te6: optimized geometry, GGA-PBE.

Values from the calculation:
Energy: -0.3147 Ry/atom
Formation energy without anion corrections: -0.22 eV/atom

Unit cell a=14.7882 b=9.7650 c=7.9881 alpha=90.00 beta=109.60 gamma=90.00
Space group C2/c (No. 15)
Asymmetric unit:
Pa 0.0000 0.1633 0.2500 [4 per cell]
Cu 0.2079 0.4847 0.2506 [8 per cell]
Te 0.0932 0.4399 0.4307 [8 per cell]
Te 0.1096 0.0879 0.6498 [8 per cell]
Te 0.1810 0.2041 0.1640 [8 per cell]

(17)
PaCuTe6: optimized geometry, GGA-PBE.

Values from the calculation:
Energy: -0.3157 Ry/atom
Formation energy without anion corrections: -0.24 eV/atom

Unit cell a=7.7098 b=8.6650 c=7.3424 alpha=90.00 beta=99.76 gamma=90.00
Space group C2/m (No. 12)
Asymmetric unit:
Pa 0.0000 0.0000 0.0000 [2 per cell]
Cu 0.0000 0.5000 0.5000 [2 per cell]
Te 0.1535 0.3220 0.7880 [8 per cell]
Te 0.1878 0.0000 0.6724 [4 per cell]

(18)
PaCu2Te3: optimized geometry, GGA-PBE.

Values from the calculation:
Energy: -0.3656 Ry/atom
Formation energy without anion corrections: -0.46 eV/atom

Unit cell a=7.9509 b=4.2354 c=11.1411 alpha=90.00 beta=110.86 gamma=90.00
Space group P2_1/m (No. 11)
Asymmetric unit:
Pa 0.1511 0.2500 0.1785 [2 per cell]
Cu 0.1223 0.2500 0.9002 [2 per cell]
Cu 0.4023 0.7500 0.4093 [2 per cell]
Te 0.0505 0.7500 0.3450 [2 per cell]
Te 0.2792 0.7500 0.0179 [2 per cell]
Te 0.4595 0.7500 0.6623 [2 per cell]

(19)
PaCu2Te3: optimized geometry, GGA-PBE.

Values from the calculation:
Energy: -0.3616 Ry/atom
Formation energy without anion corrections: -0.40 eV/atom

Unit cell a=7.0678 b=4.1271 c=11.4751 alpha=90.00 beta=100.41 gamma=90.00
Space group P2_1/m (No. 11)
Asymmetric unit:
Pa 0.1704 0.2500 0.3187 [2 per cell]
Cu 0.0423 0.7500 0.0852 [2 per cell]
Cu 0.4628 0.2500 0.5664 [2 per cell]
Te 0.1655 0.7500 0.8766 [2 per cell]
Te 0.2153 0.7500 0.5356 [2 per cell]
Te 0.4000 0.7500 0.2051 [2 per cell]

(20)
Pa3Cu5Te12: optimized geometry, GGA-PBE.

Values from the calculation:
Energy: -0.3464 Ry/atom
Formation energy without anion corrections: -0.38 eV/atom

Unit cell a=16.5916 b=16.5916 c=16.5916 alpha=90.00 beta=90.00 gamma=90.00
Space group Ia-3d (No. 230)
Asymmetric unit:
Pa 0.0000 0.2500 0.1250 [24 per cell]
Cu 0.0000 0.0000 0.0000 [16 per cell]
Cu 0.0000 0.2500 0.3750 [24 per cell]
Te 0.0257 0.0633 0.6507 [96 per cell]